! ThPd8Pb2, optimized geometry, DFT PBE-GGA; values from VASP
! magnetic moment: 0.0 Bohr magnetons per cell
! energy relative to the elements: -0.3735 eV per atom
! E above lowest polymorph: 87 meV/atom
! uncorrected energy: -5.50 eV/atom
&SYSTEM
  ibrav = 0, nat = 11, ntyp = 3
/
ATOMIC_SPECIES
Th 232.04 Th.upf
Pd 106.42 Pd.upf
Pb 207.20 Pb.upf
CELL_PARAMETERS angstrom
3.968 -6.579 0.000
3.968 6.579 0.000
-3.413 0.000 4.024
ATOMIC_POSITIONS crystal
Th 0.000 0.000 0.000
Pd 0.098 0.325 0.621
Pd 0.218 0.782 0.000
Pd 0.325 0.098 0.621
Pd 0.426 0.426 0.184
Pd 0.574 0.574 0.816
Pd 0.675 0.902 0.379
Pd 0.782 0.218 0.000
Pd 0.902 0.675 0.379
Pb 0.308 0.692 0.500
Pb 0.692 0.308 0.500